1.
A relaxed BeTePb3 crystal. Source: the Alexandria database, functional PBE.

* energy above the most stable polymorph in this dataset: 820.0 meV per atom
* uncorrected formation energy: 1044 meV/atom
* symmetry: Pm-3m, No. 221

a = 6.0247 Å, b = 6.0247 Å, c = 6.0247 Å
α = 90.00°, β = 90.00°, γ = 90.00°
Fractional coordinates of all 5 atoms:
Be: 0.0000 0.0000 0.0000
Te: 0.5000 0.5000 0.5000
Pb: 0.0000 0.5000 0.5000
Pb: 0.5000 0.0000 0.5000
Pb: 0.5000 0.5000 0.0000



2.
A relaxed CaCd2Pt crystal. Source: the Alexandria database, functional PBE.

* symmetry: Cmmm, No. 65
* energy of formation: -172 meV/atom

a = 5.7170 Å, b = 9.7290 Å, c = 3.0925 Å
α = 90.00°, β = 90.00°, γ = 90.00°
Fractional coordinates of all 8 atoms:
Ca: 0.0000 0.0000 0.0000
Ca: 0.5000 0.5000 0.0000
Cd: 0.2500 0.2500 0.5000
Cd: 0.2500 0.7500 0.5000
Cd: 0.7500 0.2500 0.5000
Cd: 0.7500 0.7500 0.5000
Pt: 0.0000 0.5000 0.0000
Pt: 0.5000 0.0000 0.0000



3.
A relaxed Hg4AsPt crystal. Source: the Alexandria database, functional PBE.

* symmetry: F-43m, No. 216
* energy of formation: 582 meV/atom

a = 5.7231 Å, b = 5.7231 Å, c = 5.7231 Å
α = 60.00°, β = 60.00°, γ = 60.00°
Fractional coordinates of all 6 atoms:
Hg: 0.1248 0.1248 0.1248
Hg: 0.1248 0.1248 0.6256
Hg: 0.1248 0.6256 0.1248
Hg: 0.6256 0.1248 0.1248
As: 0.5000 0.5000 0.5000
Pt: 0.7500 0.7500 0.7500



4.
A relaxed NbVP2Rh crystal. Source: the Alexandria database, functional PBE.

* symmetry: P4/mmm, No. 123
* energy of formation: 692 meV/atom

a = 4.3804 Å, b = 4.3804 Å, c = 4.6449 Å
α = 90.00°, β = 90.00°, γ = 90.00°
Fractional coordinates of all 5 atoms:
Nb: 0.0000 0.0000 0.0000
V: 0.0000 0.0000 0.5000
P: 0.0000 0.5000 0.5000
P: 0.5000 0.0000 0.5000
Rh: 0.5000 0.5000 0.0000



| no. | total energy (hartree per atom) |
| --- | --- |
| 1 | -0.0939 |
| 2 | -0.0970 |
| 3 | -0.0515 |
| 4 | -0.2491 |